The following is a PBE-GGA calculation of an optimized crystal structure of PmDy3Tl4Se8, from Alexandria.

The structure belongs to space group R-3m (No. 166, hexagonal axes); the cell edges are 8.4275, 8.4275 and 23.3106 Å and the angles 90.00°, 90.00° and 120.00°. Symmetry generates all atoms from Pm at (0.0000, 0.0000, 0.0000), Dy at (0.0000, 0.5000, 0.0000), Tl at (0.0000, 0.0000, 0.5000), Tl at (0.0000, 0.5000, 0.5000), Se at (0.0000, 0.0000, 0.2655) and Se at (0.0057, 0.5029, 0.2646).

For the raw formation energy, the calculation gives -1.386 eV/atom.


The following is a PBE-GGA calculation of an optimized crystal structure of Pm2DyTmSe6, from Alexandria.

The structure belongs to space group R3 (No. 146, hexagonal axes); the cell edges are 7.2975, 7.2975 and 19.4915 Å and the angles 90.00°, 90.00° and 120.00°. Symmetry generates all atoms from Pm at (0.0000, 0.0000, 0.0000), Pm at (0.0000, 0.0000, 0.4993), Dy at (0.0000, 0.0000, 0.1994), Tm at (0.0000, 0.0000, 0.6985), Se at (0.0398, 0.3531, 0.7701) and Se at (0.0413, 0.6832, 0.2707).

For the density of states at the Fermi level, the calculation gives 0.0 states/eV/cell. For the raw formation energy, the calculation gives -1.845 eV/atom.


The following is a PBE-GGA calculation of an optimized crystal structure of Pm2Dy3TmSe6, from Alexandria.

The structure belongs to space group C2/m (No. 12); the cell edges are 17.9022, 4.0870 and 8.2604 Å and the angles 90.00°, 103.39° and 90.00°. Symmetry generates all atoms from Pm at (0.1694, 0.0000, 0.3373), Dy at (0.0000, 0.5000, 0.5000), Dy at (0.1714, 0.0000, 0.8341), Tm at (0.0000, 0.5000, 0.0000), Se at (0.0033, 0.0000, 0.7562), Se at (0.1628, 0.5000, 0.0742) and Se at (0.1626, 0.5000, 0.5896).

For the density of states at the Fermi level, the calculation gives 11.4 states/eV/cell. For the raw formation energy, the calculation gives -1.762 eV/atom.


The following is a PBE-GGA calculation of an optimized crystal structure of Pm2DyTmSe4, from Alexandria.

The structure belongs to space group P2/m (No. 10); the cell edges are 7.0661, 4.0528 and 7.2997 Å and the angles 90.00°, 108.63° and 90.00°. Symmetry generates all atoms from Pm at (0.0000, 0.0000, 0.0000), Pm at (0.5000, 0.5000, 0.0000), Dy at (0.0000, 0.5000, 0.5000), Tm at (0.5000, 0.0000, 0.5000), Se at (0.2480, 0.0000, 0.7362) and Se at (0.2581, 0.5000, 0.2657).

For the density of states at the Fermi level, the calculation gives 4.0 states/eV/cell. For the raw formation energy, the calculation gives -1.774 eV/atom.


The following is a PBE-GGA calculation of an optimized crystal structure of PmDy4TmSe8, from Alexandria.

The structure belongs to space group R3m (No. 160, hexagonal axes); the cell edges are 8.4441, 8.4441 and 20.6168 Å and the angles 90.00°, 90.00° and 120.00°. Symmetry generates all atoms from Pm at (0.0000, 0.0000, 0.0000), Dy at (0.0000, 0.0000, 0.2486), Dy at (0.0017, 0.5008, 0.1245), Tm at (0.0000, 0.0000, 0.6240), Se at (0.0000, 0.0000, 0.3809), Se at (0.0000, 0.0000, 0.8648), Se at (0.0296, 0.5148, 0.3766) and Se at (0.1777, 0.3555, 0.2066).

For the density of states at the Fermi level, the calculation gives 26.5 states/eV/cell. For the raw formation energy, the calculation gives -1.710 eV/atom.


The following is a PBE-GGA calculation of an optimized crystal structure of PmDy2TmSe4, from Alexandria.

The structure belongs to space group P2/m (No. 10); the cell edges are 7.0484, 4.0325 and 7.2015 Å and the angles 90.00°, 108.74° and 90.00°. Symmetry generates all atoms from Pm at (0.0000, 0.0000, 0.0000), Dy at (0.5000, 0.0000, 0.5000), Dy at (0.5000, 0.5000, 0.0000), Tm at (0.0000, 0.5000, 0.5000), Se at (0.2493, 0.0000, 0.7420) and Se at (0.2553, 0.5000, 0.2597).

For the density of states at the Fermi level, the calculation gives 4.3 states/eV/cell. For the raw formation energy, the calculation gives -1.742 eV/atom.


The following is a PBE-GGA calculation of an optimized crystal structure of PmDyTm2Se4, from Alexandria.

The structure belongs to space group P2/m (No. 10); the cell edges are 7.0042, 4.0099 and 7.2033 Å and the angles 90.00°, 108.64° and 90.00°. Symmetry generates all atoms from Pm at (0.0000, 0.0000, 0.0000), Dy at (0.5000, 0.5000, 0.0000), Tm at (0.0000, 0.5000, 0.5000), Tm at (0.5000, 0.0000, 0.5000), Se at (0.2511, 0.0000, 0.7400) and Se at (0.2592, 0.5000, 0.2635).

For the density of states at the Fermi level, the calculation gives 4.1 states/eV/cell. For the raw formation energy, the calculation gives -1.726 eV/atom.


The following is a PBE-GGA calculation of an optimized crystal structure of Pm3DyTm3Se8, from Alexandria.

The structure belongs to space group R-3m (No. 166, hexagonal axes); the cell edges are 8.1524, 8.1524 and 20.2135 Å and the angles 90.00°, 90.00° and 120.00°. Symmetry generates all atoms from Pm at (0.0000, 0.5000, 0.0000), Dy at (0.0000, 0.0000, 0.5000), Tm at (0.0000, 0.5000, 0.5000), Se at (0.0000, 0.0000, 0.2448) and Se at (0.0096, 0.5048, 0.7530).

For the density of states at the Fermi level, the calculation gives 19.5 states/eV/cell. For the raw formation energy, the calculation gives -1.831 eV/atom.


The following is a PBE-GGA calculation of an optimized crystal structure of PmDy3Tm3Se8, from Alexandria.

The structure belongs to space group R-3m (No. 166, hexagonal axes); the cell edges are 8.0808, 8.0808 and 19.7972 Å and the angles 90.00°, 90.00° and 120.00°. Symmetry generates all atoms from Pm at (0.0000, 0.0000, 0.0000), Dy at (0.0000, 0.5000, 0.5000), Tm at (0.0000, 0.5000, 0.0000), Se at (0.0000, 0.0000, 0.2517) and Se at (0.0154, 0.5077, 0.2479).

For the density of states at the Fermi level, the calculation gives 17.3 states/eV/cell. For the raw formation energy, the calculation gives -1.802 eV/atom.


The following is a PBE-GGA calculation of an optimized crystal structure of PmDy3Tm2Se6, from Alexandria.

The structure belongs to space group C2/m (No. 12); the cell edges are 7.0395, 12.2554 and 7.0606 Å and the angles 90.00°, 109.43° and 90.00°. Symmetry generates all atoms from Pm at (0.0000, 0.0000, 0.0000), Dy at (0.0000, 0.1581, 0.5000), Dy at (0.0000, 0.5000, 0.5000), Tm at (0.0000, 0.3347, 0.0000), Se at (0.2372, 0.5000, 0.2454) and Se at (0.2439, 0.3271, 0.7482).

For the density of states at the Fermi level, the calculation gives 10.2 states/eV/cell. For the raw formation energy, the calculation gives -1.735 eV/atom.


The following is a PBE-GGA calculation of an optimized crystal structure of Pm4DyTmSe8, from Alexandria.

The structure belongs to space group R3m (No. 160, hexagonal axes); the cell edges are 8.5586, 8.5586 and 20.8874 Å and the angles 90.00°, 90.00° and 120.00°. Symmetry generates all atoms from Pm at (0.0000, 0.0000, 0.0000), Pm at (0.1678, 0.3355, 0.2097), Dy at (0.0000, 0.0000, 0.7528), Tm at (0.0000, 0.0000, 0.3770), Se at (0.0000, 0.0000, 0.1331), Se at (0.0000, 0.0000, 0.6230), Se at (0.0211, 0.5106, 0.1245) and Se at (0.1812, 0.3624, 0.9606).

For the density of states at the Fermi level, the calculation gives 25.5 states/eV/cell. For the raw formation energy, the calculation gives -1.719 eV/atom.


The following is a PBE-GGA calculation of an optimized crystal structure of PmDy3Y3Se8, from Alexandria.

The structure belongs to space group R-3m (No. 166, hexagonal axes); the cell edges are 8.1451, 8.1451 and 19.9536 Å and the angles 90.00°, 90.00° and 120.00°. Symmetry generates all atoms from Pm at (0.0000, 0.0000, 0.0000), Dy at (0.0000, 0.5000, 0.0000), Y at (0.0000, 0.5000, 0.5000), Se at (0.0000, 0.0000, 0.2503) and Se at (0.0117, 0.5058, 0.2475).

For the density of states at the Fermi level, the calculation gives 18.5 states/eV/cell. For the raw formation energy, the calculation gives -1.837 eV/atom.